# 1
The following is a DFT calculation (PBE) of an optimized crystal structure of Li2TbSnAu4.

Structure (CIF):
```
data_Li2TbSnAu4
_chemical_formula_sum 'Li2 Tb1 Sn1 Au4'
_cell_length_a 4.607
_cell_length_b 4.607
_cell_length_c 9.010
_cell_angle_alpha 75.19
_cell_angle_beta 75.19
_cell_angle_gamma 60.00
_symmetry_space_group_name_H-M 'P 1'
_symmetry_Int_Tables_number 1
_symmetry_space_group_name_Hall 'P 1'
loop_
_atom_site_label
_atom_site_type_symbol
_atom_site_fract_x
_atom_site_fract_y
_atom_site_fract_z
Li1 Li 0.758 0.758 0.726
Li2 Li 0.242 0.242 0.274
Tb1 Tb 0.000 0.000 0.000
Sn1 Sn 0.500 0.500 0.500
Au1 Au 0.388 0.388 0.837
Au2 Au 0.881 0.881 0.357
Au3 Au 0.119 0.119 0.643
Au4 Au 0.612 0.612 0.163
```

Summary:
The space-group type is R-3m, No. 166. The energy of formation from the pure elements comes out at -432 kJ/mol of formula units. The calculation puts the total energy at -3.756 eV/atom. Its size of the total moment is 0.000 Bohr magnetons per cell.

# 2
The following is a DFT calculation (PBE) of an optimized crystal structure of Mn2NiPd8.

Structure (CIF):
```
data_Mn2NiPd8
_chemical_formula_sum 'Mn2 Ni1 Pd8'
_cell_length_a 3.973
_cell_length_b 6.195
_cell_length_c 7.247
_cell_angle_alpha 105.72
_cell_angle_beta 105.91
_cell_angle_gamma 90.00
_symmetry_space_group_name_H-M 'P 1'
_symmetry_Int_Tables_number 1
_symmetry_space_group_name_Hall 'P 1'
loop_
_atom_site_label
_atom_site_type_symbol
_atom_site_fract_x
_atom_site_fract_y
_atom_site_fract_z
Mn1 Mn 0.777 0.351 0.553
Mn2 Mn 0.223 0.649 0.447
Ni1 Ni 0.500 0.000 0.000
Pd1 Pd 0.405 0.548 0.809
Pd2 Pd 0.678 0.913 0.355
Pd3 Pd 0.858 0.808 0.717
Pd4 Pd 0.957 0.267 0.913
Pd5 Pd 0.142 0.192 0.283
Pd6 Pd 0.322 0.087 0.645
Pd7 Pd 0.595 0.452 0.191
Pd8 Pd 0.043 0.733 0.087
```

Summary:
The space-group type is C2/m, No. 12. As for the energy above the most stable polymorph in this dataset: 0.0 meV per atom. The energy of formation from the pure elements comes out at -127 kJ/mol of formula units. The calculation puts the total energy at -6.089 eV/atom. Its size of the total moment is 10.942 Bohr magnetons per cell.

# 3
The following is a DFT calculation (PBE) of an optimized crystal structure of YMg7.

Structure (CIF):
```
data_YMg7
_chemical_formula_sum 'Y1 Mg7'
_cell_length_a 6.624
_cell_length_b 6.624
_cell_length_c 5.158
_cell_angle_alpha 90.00
_cell_angle_beta 90.00
_cell_angle_gamma 120.00
_symmetry_space_group_name_H-M 'P 1'
_symmetry_Int_Tables_number 1
_symmetry_space_group_name_Hall 'P 1'
loop_
_atom_site_label
_atom_site_type_symbol
_atom_site_fract_x
_atom_site_fract_y
_atom_site_fract_z
Y1 Y 0.000 0.000 0.500
Mg1 Mg 0.496 0.993 0.500
Mg2 Mg 0.007 0.504 0.500
Mg3 Mg 0.496 0.504 0.500
Mg4 Mg 0.170 0.830 0.000
Mg5 Mg 0.660 0.830 0.000
Mg6 Mg 0.170 0.340 0.000
Mg7 Mg 0.667 0.333 0.000
```

Summary:
The space-group type is P-6m2, No. 187. As for the energy above the most stable polymorph in this dataset: 40.9 meV per atom. The energy of formation from the pure elements comes out at -7 kJ/mol of formula units. The calculation puts the total energy at -2.213 eV/atom. Its size of the total moment is 0.000 Bohr magnetons per cell.

# 4
The following is a DFT calculation (PBE) of an optimized crystal structure of LiCoSi2.

Structure (CIF):
```
data_LiCoSi2
_chemical_formula_sum 'Li1 Co1 Si2'
_cell_length_a 4.053
_cell_length_b 4.053
_cell_length_c 4.893
_cell_angle_alpha 81.57
_cell_angle_beta 81.57
_cell_angle_gamma 39.15
_symmetry_space_group_name_H-M 'P 1'
_symmetry_Int_Tables_number 1
_symmetry_space_group_name_Hall 'P 1'
loop_
_atom_site_label
_atom_site_type_symbol
_atom_site_fract_x
_atom_site_fract_y
_atom_site_fract_z
Co1 Co 0.250 0.250 0.250
Li1 Li 0.750 0.750 0.750
Si1 Si 0.987 0.987 0.034
Si2 Si 0.513 0.513 0.466
```

Summary:
The space-group type is C2/m, No. 12. As for the energy above the most stable polymorph in this dataset: 85.1 meV per atom. The calculation puts the total energy at -5.170 eV/atom. Its size of the total moment is 0.001 Bohr magnetons per cell. For the formation energy without anion corrections, the calculation gives -0.8 eV per formula unit.

# 5
The following is a DFT calculation (PBE) of an optimized crystal structure of K2BaNa10.

Structure (CIF):
```
data_K2BaNa10
_chemical_formula_sum 'K4 Ba2 Na20'
_cell_length_a 6.902
_cell_length_b 10.869
_cell_length_c 18.193
_cell_angle_alpha 90.00
_cell_angle_beta 90.00
_cell_angle_gamma 90.00
_symmetry_space_group_name_H-M 'P 1'
_symmetry_Int_Tables_number 1
_symmetry_space_group_name_Hall 'P 1'
loop_
_atom_site_label
_atom_site_type_symbol
_atom_site_fract_x
_atom_site_fract_y
_atom_site_fract_z
K1 K 0.500 0.273 0.912
K2 K 0.500 0.727 0.088
K3 K 0.500 0.773 0.588
K4 K 0.500 0.227 0.412
Ba1 Ba 0.000 0.500 0.500
Ba2 Ba 0.000 0.000 0.000
Na1 Na 0.000 0.154 0.517
Na2 Na 0.000 0.846 0.483
Na3 Na 0.000 0.654 0.983
Na4 Na 0.000 0.346 0.017
Na5 Na 0.000 0.969 0.669
Na6 Na 0.000 0.031 0.331
Na7 Na 0.255 0.175 0.168
Na8 Na 0.255 0.825 0.832
Na9 Na 0.745 0.675 0.332
Na10 Na 0.745 0.325 0.668
Na11 Na 0.745 0.825 0.832
Na12 Na 0.745 0.175 0.168
Na13 Na 0.255 0.325 0.668
Na14 Na 0.255 0.675 0.332
Na15 Na 0.000 0.847 0.187
Na16 Na 0.000 0.153 0.813
Na17 Na 0.000 0.347 0.313
Na18 Na 0.000 0.653 0.687
Na19 Na 0.000 0.531 0.169
Na20 Na 0.000 0.469 0.831
```

Summary:
The space-group type is Pbam, No. 55. The energy of formation from the pure elements comes out at 162 kJ/mol of formula units. The calculation puts the total energy at -1.202 eV/atom. Its size of the total moment is 0.000 Bohr magnetons per cell.

# 6
The following is a DFT calculation (PBE) of an optimized crystal structure of Nb2VNi.

Structure (CIF):
```
data_Nb2VNi
_chemical_formula_sum 'Nb2 V1 Ni1'
_cell_length_a 2.986
_cell_length_b 2.986
_cell_length_c 8.437
_cell_angle_alpha 79.81
_cell_angle_beta 79.81
_cell_angle_gamma 60.00
_symmetry_space_group_name_H-M 'P 1'
_symmetry_Int_Tables_number 1
_symmetry_space_group_name_Hall 'P 1'
loop_
_atom_site_label
_atom_site_type_symbol
_atom_site_fract_x
_atom_site_fract_y
_atom_site_fract_z
Ni1 Ni 0.500 0.500 0.500
Nb1 Nb 0.249 0.249 0.253
Nb2 Nb 0.751 0.751 0.747
V1 V 0.000 0.000 0.000
```

Summary:
The space-group type is R-3m, No. 166. As for the energy above the most stable polymorph in this dataset: 307.4 meV per atom. The energy of formation from the pure elements comes out at 98 kJ/mol of formula units. The calculation puts the total energy at -8.506 eV/atom. Its size of the total moment is 0.165 Bohr magnetons per cell.

# 7
The following is a DFT calculation (PBE) of an optimized crystal structure of Sc2AgC.

Structure (CIF):
```
data_Sc2AgC
_chemical_formula_sum 'Sc2 Ag1 C1'
_cell_length_a 3.354
_cell_length_b 3.360
_cell_length_c 7.415
_cell_angle_alpha 103.12
_cell_angle_beta 90.00
_cell_angle_gamma 119.95
_symmetry_space_group_name_H-M 'P 1'
_symmetry_Int_Tables_number 1
_symmetry_space_group_name_Hall 'P 1'
loop_
_atom_site_label
_atom_site_type_symbol
_atom_site_fract_x
_atom_site_fract_y
_atom_site_fract_z
Sc1 Sc 0.276 0.053 0.330
Sc2 Sc 0.724 0.947 0.670
Ag1 Ag 0.500 0.500 0.000
C1 C 0.000 0.500 0.500
```

Summary:
The space-group type is R-3m, No. 166. The energy of formation from the pure elements comes out at -143 kJ/mol of formula units. The calculation puts the total energy at -6.556 eV/atom. Its size of the total moment is 0.725 Bohr magnetons per cell.

# 8
The following is a DFT calculation (PBE) of an optimized crystal structure of MnSb2Se.

Structure (CIF):
```
data_MnSb2Se
_chemical_formula_sum 'Mn1 Sb2 Se1'
_cell_length_a 3.060
_cell_length_b 3.060
_cell_length_c 9.790
_cell_angle_alpha 90.00
_cell_angle_beta 90.00
_cell_angle_gamma 94.33
_symmetry_space_group_name_H-M 'P 1'
_symmetry_Int_Tables_number 1
_symmetry_space_group_name_Hall 'P 1'
loop_
_atom_site_label
_atom_site_type_symbol
_atom_site_fract_x
_atom_site_fract_y
_atom_site_fract_z
Mn1 Mn 0.500 0.500 0.750
Sb1 Sb 0.000 0.000 0.949
Sb2 Sb 0.000 0.000 0.551
Se1 Se 0.500 0.500 0.250
```

Summary:
The space-group type is Cmmm, No. 65. The calculation puts the total energy at -4.986 eV/atom. Its size of the total moment is 3.165 Bohr magnetons per cell. For the formation energy without anion corrections, the calculation gives 1.0 eV per formula unit.